Record 1
Computed, not measured: VGeAu2 after structural relaxation at the PBE level of DFT.

```
data_VGeAu2
_symmetry_space_group_name_H-M 'P 1'
_symmetry_Int_Tables_number 1
_cell_length_a 2.8306
_cell_length_b 2.8306
_cell_length_c 10.5298
_cell_angle_alpha 82.28
_cell_angle_beta 82.28
_cell_angle_gamma 60.00
loop_
_symmetry_equiv_pos_as_xyz
'x,y,z'
loop_
_atom_site_label
_atom_site_type_symbol
_atom_site_fract_x
_atom_site_fract_y
_atom_site_fract_z
Ge1 Ge 0.5000 0.5000 0.5000
Au1 Au 0.9165 0.9165 0.2506
Au2 Au 0.0835 0.0835 0.7494
V1 V 0.0000 0.0000 0.0000
```

Values from the calculation:
Energy relative to the elements (eV/atom): 0.4086
Symmetry: No. 166


Record 2
Computed, not measured: V3GeAu after structural relaxation at the PBE level of DFT.

```
data_V3GeAu
_symmetry_space_group_name_H-M 'P 1'
_symmetry_Int_Tables_number 1
_cell_length_a 4.4991
_cell_length_b 4.4991
_cell_length_c 4.4991
_cell_angle_alpha 90.00
_cell_angle_beta 90.00
_cell_angle_gamma 90.00
loop_
_symmetry_equiv_pos_as_xyz
'x,y,z'
loop_
_atom_site_label
_atom_site_type_symbol
_atom_site_fract_x
_atom_site_fract_y
_atom_site_fract_z
Au1 Au 0.5000 0.5000 0.5000
Ge1 Ge 0.0000 0.0000 0.0000
V1 V 0.0000 0.0000 0.5000
V2 V 0.0000 0.5000 0.0000
V3 V 0.5000 0.0000 0.0000
```

Values from the calculation:
Energy relative to the elements (eV/atom): 0.8515
E above lowest polymorph (meV per atom): 0.0
Symmetry: No. 221


Record 3
Computed, not measured: V2Ge2Au after structural relaxation at the PBE level of DFT.

```
data_V2Ge2Au
_symmetry_space_group_name_H-M 'P 1'
_symmetry_Int_Tables_number 1
_cell_length_a 7.0910
_cell_length_b 7.0910
_cell_length_c 3.1365
_cell_angle_alpha 90.00
_cell_angle_beta 90.00
_cell_angle_gamma 90.00
loop_
_symmetry_equiv_pos_as_xyz
'x,y,z'
loop_
_atom_site_label
_atom_site_type_symbol
_atom_site_fract_x
_atom_site_fract_y
_atom_site_fract_z
V1 V 0.8833 0.6167 0.0000
V2 V 0.6167 0.1167 0.0000
V3 V 0.1167 0.3833 0.0000
V4 V 0.3833 0.8833 0.0000
Au1 Au 0.5000 0.5000 0.0000
Au2 Au 0.0000 0.0000 0.0000
Ge1 Ge 0.1790 0.6790 0.5000
Ge2 Ge 0.3210 0.1790 0.5000
Ge3 Ge 0.6790 0.8210 0.5000
Ge4 Ge 0.8210 0.3210 0.5000
```

Values from the calculation:
Energy relative to the elements (eV/atom): -0.0087
E above lowest polymorph (meV per atom): 0.0
Symmetry: No. 127


Record 4
Computed, not measured: V2GeAu after structural relaxation at the PBE level of DFT.

```
data_V2GeAu
_symmetry_space_group_name_H-M 'P 1'
_symmetry_Int_Tables_number 1
_cell_length_a 2.8099
_cell_length_b 2.8099
_cell_length_c 9.0232
_cell_angle_alpha 81.04
_cell_angle_beta 81.04
_cell_angle_gamma 60.00
loop_
_symmetry_equiv_pos_as_xyz
'x,y,z'
loop_
_atom_site_label
_atom_site_type_symbol
_atom_site_fract_x
_atom_site_fract_y
_atom_site_fract_z
V1 V 0.7466 0.7466 0.7602
V2 V 0.2534 0.2534 0.2398
Au1 Au 0.5000 0.5000 0.5000
Ge1 Ge 0.0000 0.0000 0.0000
```

Values from the calculation:
Energy relative to the elements (eV/atom): 0.1139
Symmetry: No. 166


Record 5
Computed, not measured: V3GeAu after structural relaxation at the PBE level of DFT.

```
data_V3GeAu
_symmetry_space_group_name_H-M 'P 1'
_symmetry_Int_Tables_number 1
_cell_length_a 4.8032
_cell_length_b 4.8032
_cell_length_c 4.8032
_cell_angle_alpha 90.00
_cell_angle_beta 90.00
_cell_angle_gamma 90.00
loop_
_symmetry_equiv_pos_as_xyz
'x,y,z'
loop_
_atom_site_label
_atom_site_type_symbol
_atom_site_fract_x
_atom_site_fract_y
_atom_site_fract_z
V1 V 0.0000 0.5000 0.0000
V2 V 0.0000 0.0000 0.5000
V3 V 0.5000 0.0000 0.0000
Au1 Au 0.0000 0.0000 0.0000
Ge1 Ge 0.5000 0.5000 0.5000
```

Values from the calculation:
Energy relative to the elements (eV/atom): 1.3836
E above lowest polymorph (meV per atom): 532.1
Symmetry: No. 221


Record 6
Computed, not measured: VGeAu2 after structural relaxation at the PBE level of DFT.

```
data_VGeAu2
_symmetry_space_group_name_H-M 'P 1'
_symmetry_Int_Tables_number 1
_cell_length_a 4.2964
_cell_length_b 3.9692
_cell_length_c 3.9692
_cell_angle_alpha 90.00
_cell_angle_beta 90.00
_cell_angle_gamma 90.00
loop_
_symmetry_equiv_pos_as_xyz
'x,y,z'
loop_
_atom_site_label
_atom_site_type_symbol
_atom_site_fract_x
_atom_site_fract_y
_atom_site_fract_z
V1 V 0.5000 0.0000 0.0000
Au1 Au 0.0000 0.5000 0.0000
Au2 Au 0.0000 0.0000 0.5000
Ge1 Ge 0.5000 0.5000 0.5000
```

Values from the calculation:
Energy relative to the elements (eV/atom): 0.0667
Symmetry: No. 123


Record 7
Computed, not measured: VGe2Au2 after structural relaxation at the PBE level of DFT.

```
data_VGe2Au2
_symmetry_space_group_name_H-M 'P 1'
_symmetry_Int_Tables_number 1
_cell_length_a 6.9207
_cell_length_b 6.9207
_cell_length_c 3.7514
_cell_angle_alpha 90.00
_cell_angle_beta 90.00
_cell_angle_gamma 90.00
loop_
_symmetry_equiv_pos_as_xyz
'x,y,z'
loop_
_atom_site_label
_atom_site_type_symbol
_atom_site_fract_x
_atom_site_fract_y
_atom_site_fract_z
Ge1 Ge 0.6509 0.1509 0.0000
Ge2 Ge 0.3491 0.8491 0.0000
Ge3 Ge 0.1509 0.3491 0.0000
Ge4 Ge 0.8491 0.6509 0.0000
V1 V 0.5000 0.5000 0.0000
V2 V 0.0000 0.0000 0.0000
Au1 Au 0.8448 0.3448 0.5000
Au2 Au 0.1552 0.6552 0.5000
Au3 Au 0.6552 0.8448 0.5000
Au4 Au 0.3448 0.1552 0.5000
```

Values from the calculation:
Energy relative to the elements (eV/atom): 0.1901
Symmetry: No. 127


Record 8
Computed, not measured: V12Ge3Au after structural relaxation at the PBE level of DFT.

```
data_V12Ge3Au
_symmetry_space_group_name_H-M 'P 1'
_symmetry_Int_Tables_number 1
_cell_length_a 4.7947
_cell_length_b 4.7918
_cell_length_c 9.5604
_cell_angle_alpha 90.00
_cell_angle_beta 90.00
_cell_angle_gamma 90.00
loop_
_symmetry_equiv_pos_as_xyz
'x,y,z'
loop_
_atom_site_label
_atom_site_type_symbol
_atom_site_fract_x
_atom_site_fract_y
_atom_site_fract_z
V1 V 0.0000 0.7467 0.7550
V2 V 0.5000 0.0000 0.3762
V3 V 0.2492 0.5000 0.0000
V4 V 0.5000 0.0000 0.6238
V5 V 0.5000 0.0000 0.8705
V6 V 0.7508 0.5000 0.0000
V7 V 0.0000 0.2533 0.2450
V8 V 0.5000 0.0000 0.1295
V9 V 0.2530 0.5000 0.5000
V10 V 0.0000 0.2533 0.7550
V11 V 0.7470 0.5000 0.5000
V12 V 0.0000 0.7467 0.2450
Au1 Au 0.0000 0.0000 0.5000
Ge1 Ge 0.0000 0.0000 0.0000
Ge2 Ge 0.5000 0.5000 0.2479
Ge3 Ge 0.5000 0.5000 0.7521
```

Values from the calculation:
Energy relative to the elements (eV/atom): -0.2545
Symmetry: No. 47


Record 9
Computed, not measured: V2Ge2Au after structural relaxation at the PBE level of DFT.

```
data_V2Ge2Au
_symmetry_space_group_name_H-M 'P 1'
_symmetry_Int_Tables_number 1
_cell_length_a 6.7705
_cell_length_b 6.7705
_cell_length_c 3.3576
_cell_angle_alpha 90.00
_cell_angle_beta 90.00
_cell_angle_gamma 90.00
loop_
_symmetry_equiv_pos_as_xyz
'x,y,z'
loop_
_atom_site_label
_atom_site_type_symbol
_atom_site_fract_x
_atom_site_fract_y
_atom_site_fract_z
Ge1 Ge 0.1343 0.3657 0.0000
Ge2 Ge 0.8657 0.6343 0.0000
Ge3 Ge 0.6343 0.1343 0.0000
Ge4 Ge 0.3657 0.8657 0.0000
V1 V 0.6623 0.8377 0.5000
V2 V 0.3377 0.1623 0.5000
V3 V 0.1623 0.6623 0.5000
V4 V 0.8377 0.3377 0.5000
Au1 Au 0.0000 0.0000 0.0000
Au2 Au 0.5000 0.5000 0.0000
```

Values from the calculation:
Energy relative to the elements (eV/atom): 0.0171
E above lowest polymorph (meV per atom): 25.8
Symmetry: No. 127


Record 10
Computed, not measured: V2GeAu after structural relaxation at the PBE level of DFT.

```
data_V2GeAu
_symmetry_space_group_name_H-M 'P 1'
_symmetry_Int_Tables_number 1
_cell_length_a 4.0993
_cell_length_b 3.8044
_cell_length_c 3.8044
_cell_angle_alpha 90.00
_cell_angle_beta 90.00
_cell_angle_gamma 90.00
loop_
_symmetry_equiv_pos_as_xyz
'x,y,z'
loop_
_atom_site_label
_atom_site_type_symbol
_atom_site_fract_x
_atom_site_fract_y
_atom_site_fract_z
Au1 Au 0.5000 0.5000 0.5000
Ge1 Ge 0.5000 0.0000 0.0000
V1 V 0.0000 0.0000 0.5000
V2 V 0.0000 0.5000 0.0000
```

Values from the calculation:
Energy relative to the elements (eV/atom): -0.0693
Symmetry: No. 123


Record 11
Computed, not measured: GeW3Au after structural relaxation at the PBE level of DFT.

```
data_GeW3Au
_symmetry_space_group_name_H-M 'P 1'
_symmetry_Int_Tables_number 1
_cell_length_a 4.8689
_cell_length_b 4.8689
_cell_length_c 4.8689
_cell_angle_alpha 90.00
_cell_angle_beta 90.00
_cell_angle_gamma 90.00
loop_
_symmetry_equiv_pos_as_xyz
'x,y,z'
loop_
_atom_site_label
_atom_site_type_symbol
_atom_site_fract_x
_atom_site_fract_y
_atom_site_fract_z
Au1 Au 0.0000 0.0000 0.0000
W1 W 0.5000 0.0000 0.0000
W2 W 0.0000 0.5000 0.0000
W3 W 0.0000 0.0000 0.5000
Ge1 Ge 0.5000 0.5000 0.5000
```

Values from the calculation:
Energy relative to the elements (eV/atom): 2.7014
E above lowest polymorph (meV per atom): 963.0
Symmetry: No. 221


Record 12
Computed, not measured: Ge3WAu after structural relaxation at the PBE level of DFT.

```
data_Ge3WAu
_symmetry_space_group_name_H-M 'P 1'
_symmetry_Int_Tables_number 1
_cell_length_a 4.9063
_cell_length_b 4.9063
_cell_length_c 4.9063
_cell_angle_alpha 90.00
_cell_angle_beta 90.00
_cell_angle_gamma 90.00
loop_
_symmetry_equiv_pos_as_xyz
'x,y,z'
loop_
_atom_site_label
_atom_site_type_symbol
_atom_site_fract_x
_atom_site_fract_y
_atom_site_fract_z
Ge1 Ge 0.5000 0.0000 0.0000
Ge2 Ge 0.0000 0.0000 0.5000
Ge3 Ge 0.0000 0.5000 0.0000
W1 W 0.0000 0.0000 0.0000
Au1 Au 0.5000 0.5000 0.5000
```

Values from the calculation:
Energy relative to the elements (eV/atom): 0.5825
E above lowest polymorph (meV per atom): 0.0
Symmetry: No. 221


> Which formula does entry 5 have?

V3GeAu


> The lowest energy relative to the elements belongs to which entry?

V12Ge3Au


> The highest energy relative to the elements belongs to which entry?

GeW3Au